NpBr2O2 | the Alexandria database | PBE | optimized geometry; DFT total energy = -70.09 eV/cell; Fermi-level density of states = 8.280 states/eV per cell; formation energy (no corrections) = -1768 meV/atom
1.0
6.1462 0.7334 -1.8884
-2.9610 6.2918 -3.3194
0.5488 -1.5683 8.6666
Np Br O
2 4 4
direct
0.9967 0.7807 0.9985
0.0033 0.2193 0.0015
0.5683 0.9869 0.7373
0.9118 0.6413 0.2253
0.4317 0.0131 0.2627
0.0882 0.3587 0.7747
0.3010 0.3979 0.1804
0.6990 0.6021 0.8196
0.0556 0.9074 0.8551
0.9444 0.0926 0.1449

---

NpBr2O | the Alexandria database | PBE | optimized geometry; DFT total energy = -28.83 eV/cell; Fermi-level density of states = 8.044 states/eV per cell; formation energy (no corrections) = -1897 meV/atom
1.0
-3.5100 1.2255 0.9537
-1.2820 -0.4528 3.5892
1.5466 7.4289 3.4234
Br O Np
2 1 1
direct
0.0422 0.0422 0.8877
0.2076 0.2076 0.3623
0.7918 0.7918 0.6250
0.4584 0.4584 0.6250

---

NpBrO5 | the Alexandria database | PBE | optimized geometry; DFT total energy = -98.60 eV/cell; formation energy (no corrections) = -1413 meV/atom
1.0
-1.9821 5.1625 1.7701
1.5173 0.3682 5.5887
6.5483 5.6322 1.9771
Br O Np
2 10 2
direct
0.5641 0.3784 0.7456
0.3900 0.5733 0.2791
0.1667 0.3484 0.3512
0.6876 0.8372 0.1609
0.8293 0.1352 0.7555
0.3331 0.1725 0.8121
0.1682 0.8593 0.2478
0.8654 0.2967 0.0337
0.8425 0.6822 0.6364
0.7341 0.1727 0.4256
0.1511 0.7095 0.9673
0.2757 0.8425 0.5744
0.9996 0.9951 0.5045
0.9927 0.9968 0.0059

---

Np2BrO6 | the Alexandria database | PBE | optimized geometry; DFT total energy = -76.98 eV/cell; Fermi-level density of states = 4.260 states/eV per cell; formation energy (no corrections) = -2186 meV/atom
1.0
-2.7158 -2.3631 -0.4697
3.4130 -1.1734 6.8051
-8.9403 0.2418 1.4938
O Np Br
6 2 1
direct
0.6500 0.5941 0.3797
0.3878 0.3866 0.1649
0.9973 0.8250 0.5658
0.0027 0.1750 0.4342
0.3500 0.4059 0.6203
0.6122 0.6134 0.8351
0.3279 0.6951 0.6748
0.6721 0.3049 0.3252
0.0000 0.0000 0.0000

---

NpPBrO4 | the Alexandria database | PBE | optimized geometry; DFT total energy = -112.00 eV/cell; Fermi-level density of states = 12.120 states/eV per cell; formation energy (no corrections) = -2306 meV/atom
1.0
-1.2534 -1.0589 -5.8579
2.4975 -5.2454 -1.8044
-5.1212 -4.0942 0.5104
O P Np Br
8 2 2 2
direct
0.2953 0.2953 0.4967
0.4882 0.1373 0.1487
0.4785 0.4785 0.7729
0.1373 0.4882 0.1487
0.5118 0.8627 0.8513
0.8627 0.5118 0.8513
0.7047 0.7047 0.5033
0.5215 0.5215 0.2271
0.3649 0.3649 0.2615
0.6351 0.6351 0.7385
0.7541 0.7541 0.1566
0.2459 0.2459 0.8434
0.0196 0.0196 0.2443
0.9804 0.9804 0.7557

---

Pr3NpBr2O6 | the Alexandria database | PBE | optimized geometry; DFT total energy = -91.70 eV/cell; Fermi-level density of states = 6.475 states/eV per cell; formation energy (no corrections) = -2610 meV/atom
1.0
-3.5525 4.5898 0.6741
-4.6051 -2.9225 -4.3700
-1.2249 -0.3065 7.0845
Pr O Br Np
3 6 2 1
direct
0.5000 0.5000 0.5000
0.5000 0.0000 0.5000
0.0000 0.5000 0.0000
0.6992 0.8184 0.1233
0.3464 0.1644 0.3288
0.3008 0.6951 0.8767
0.6992 0.3049 0.1233
0.6536 0.8356 0.6712
0.3008 0.1816 0.8767
0.1233 0.7134 0.4268
0.8767 0.2866 0.5732
0.5000 0.0000 0.0000